Record 1
Entry from Alexandria: an optimized crystal structure of Ac2NbGa (GGA-PBE).

## Properties
The energy of formation from the pure elements is 0.6901 eV/atom.

abc: 11.654 11.654 11.654
angles: 17.29 17.29 17.29
Positions (direct):
Ac: 0.090 0.090 0.090
Ac: 0.910 0.910 0.910
Nb: 0.000 0.000 0.000
Ga: 0.500 0.500 0.500

Record 2
Entry from Alexandria: an optimized crystal structure of ErGa4Cu2 (GGA-PBE).

## Properties
The calculation puts the polymorph energy (0 for the lowest one) at 0.000 eV per atom. The energy of formation from the pure elements is -0.3515 eV/atom.

abc: 16.700 4.226 6.634
angles: 90.00 90.00 90.00
Positions (direct):
Er: 0.142 0.250 0.019
Er: 0.358 0.750 0.519
Er: 0.642 0.250 0.481
Er: 0.858 0.750 0.981
Ga: 0.033 0.750 0.855
Ga: 0.067 0.250 0.480
Ga: 0.184 0.750 0.328
Ga: 0.190 0.750 0.729
Ga: 0.310 0.250 0.229
Ga: 0.316 0.250 0.828
Ga: 0.433 0.750 0.980
Ga: 0.467 0.250 0.355
Ga: 0.533 0.750 0.645
Ga: 0.567 0.250 0.020
Ga: 0.684 0.750 0.172
Ga: 0.690 0.750 0.771
Ga: 0.810 0.250 0.271
Ga: 0.816 0.250 0.672
Ga: 0.933 0.750 0.520
Ga: 0.967 0.250 0.145
Cu: 0.036 0.750 0.245
Cu: 0.217 0.250 0.533
Cu: 0.283 0.750 0.033
Cu: 0.464 0.250 0.745
Cu: 0.536 0.750 0.255
Cu: 0.717 0.250 0.967
Cu: 0.783 0.750 0.467
Cu: 0.964 0.250 0.755

Record 3
Entry from Alexandria: an optimized crystal structure of Ac5LaSe8 (GGA-PBE).

## Properties
The formation energy (no corrections) comes out at -191 kJ/mol of atoms.

abc: 8.094 8.094 8.094
angles: 109.46 109.46 109.49
Positions (direct):
Ac: 0.000 0.000 0.000
Ac: 0.125 0.249 0.623
Ac: 0.498 0.875 0.123
Ac: 0.625 0.502 0.377
Ac: 0.751 0.375 0.877
La: 0.250 0.750 0.500
Se: 0.028 0.625 0.748
Se: 0.224 0.476 0.103
Se: 0.373 0.120 0.897
Se: 0.375 0.123 0.403
Se: 0.524 0.627 0.748
Se: 0.720 0.972 0.597
Se: 0.877 0.280 0.252
Se: 0.880 0.776 0.252

Record 4
Entry from Alexandria: an optimized crystal structure of LaEr3Tl2 (GGA-PBE).

## Properties
The calculation puts the polymorph energy (0 for the lowest one) at 0.000 eV per atom. The energy of formation from the pure elements is -0.2614 eV/atom.

abc: 5.151 10.093 6.798
angles: 90.00 90.00 90.00
Positions (direct):
La: 0.000 0.043 0.000
La: 0.000 0.957 0.500
Er: 0.000 0.320 0.615
Er: 0.000 0.680 0.115
Er: 0.500 0.198 0.276
Er: 0.500 0.455 0.903
Er: 0.500 0.545 0.403
Er: 0.500 0.802 0.776
Tl: 0.000 0.369 0.155
Tl: 0.000 0.631 0.655
Tl: 0.500 0.143 0.733
Tl: 0.500 0.857 0.233

Record 5
Entry from Alexandria: an optimized crystal structure of CaBe2Cu (GGA-PBE).

## Properties
The calculation puts the polymorph energy (0 for the lowest one) at 0.254 eV per atom. The energy of formation from the pure elements is 0.2306 eV/atom.

abc: 8.363 8.363 8.363
angles: 150.39 150.39 42.37
Positions (direct):
Ca: 0.375 0.625 0.750
Ca: 0.625 0.375 0.250
Be: 0.000 0.000 0.000
Be: 0.000 0.000 0.500
Be: 0.000 0.500 0.000
Be: 0.500 0.000 0.500
Cu: 0.125 0.875 0.250
Cu: 0.875 0.125 0.750

Record 6
Entry from Alexandria: an optimized crystal structure of LaTl2Ag (GGA-PBE).

## Properties
The energy of formation from the pure elements is -0.1527 eV/atom.

abc: 3.681 3.681 7.790
angles: 90.00 90.00 90.00
Positions (direct):
La: 0.000 0.000 0.000
Tl: 0.500 0.500 0.284
Tl: 0.500 0.500 0.716
Ag: 0.000 0.000 0.500